Entry P
Compound: NiClF2
Source: Alexandria
Functional: GGA+U
Structure: optimized geometry

Geometry as POSCAR:
```
NiClF2
1.0
-2.663 0.068 0.911
3.976 -3.103 3.149
1.817 7.174 4.774
Ni Cl F
2 2 4
Direct
0.751 0.750 0.750 Ni
0.249 0.250 0.250 Ni
0.748 0.751 0.250 Cl
0.252 0.249 0.750 Cl
0.251 0.750 0.604 F
0.749 0.250 0.396 F
0.251 0.750 0.896 F
0.749 0.250 0.104 F
```

Magnetic moment (μB per formula unit): 1.58
Fermi-level density of states (states/eV/f.u.): 3.22
Theoretical density (g cm⁻³): 3.380

=====

Entry Q
Compound: NiClF2
Source: Alexandria
Functional: GGA+U
Structure: optimized geometry

Geometry as POSCAR:
```
NiClF2
1.0
-5.916 6.344 3.004
-4.372 5.870 5.540
-3.335 7.808 3.489
Ni F Cl
1 2 1
Direct
0.500 0.500 0.500 Ni
0.871 0.871 0.871 F
0.129 0.129 0.129 F
0.000 0.000 0.000 Cl
```

Magnetic moment (μB per formula unit): 2.00
Fermi-level density of states (states/eV/f.u.): 1.57
Theoretical density (g cm⁻³): 3.109

=====

Which of them is most stable? Easy: entry Q.

=====

Entry P
Compound: NiClF2
Source: Alexandria
Functional: GGA+U
Structure: optimized geometry

Geometry as POSCAR:
```
NiClF2
1.0
-1.486 2.845 2.710
-1.987 3.418 -1.422
-4.144 0.405 0.558
Ni F Cl
1 2 1
Direct
0.500 0.500 0.500 Ni
0.250 0.250 0.250 F
0.750 0.750 0.750 F
0.000 0.000 0.000 Cl
```

Magnetic moment (μB per formula unit): 3.00
Fermi-level density of states (states/eV/f.u.): 6.43
Theoretical density (g cm⁻³): 4.185

=====

Entry Q
Compound: NiClF2
Source: Alexandria
Functional: GGA+U
Structure: optimized geometry

Geometry as POSCAR:
```
NiClF2
1.0
-1.065 6.057 -1.460
-2.810 -1.789 -5.372
-5.169 1.985 -1.676
Ni F Cl
2 4 2
Direct
0.000 0.000 0.000 Ni
0.750 0.250 0.500 Ni
0.784 0.125 0.250 F
0.966 0.625 0.250 F
0.375 0.216 0.750 F
0.875 0.034 0.750 F
0.500 0.500 0.000 Cl
0.250 0.750 0.500 Cl
```

Magnetic moment (μB per formula unit): 3.00
Fermi-level density of states (states/eV/f.u.): 2.13
Theoretical density (g cm⁻³): 2.991

=====

Which of them is most stable? Easy: entry Q.

=====

Entry P
Compound: NiPCl2F
Source: Alexandria
Functional: GGA+U
Structure: optimized geometry

Geometry as POSCAR:
```
NiPCl2F
1.0
-1.267 4.083 -1.218
-3.819 -1.652 -1.564
-1.894 0.602 3.988
Ni F P Cl
1 1 1 2
Direct
0.000 0.000 0.000 Ni
0.500 0.500 0.500 F
0.000 0.000 0.500 P
0.000 0.500 0.000 Cl
0.500 0.000 0.000 Cl
```

Magnetic moment (μB per formula unit): 0.00
Fermi-level density of states (states/eV/f.u.): 3.76
Theoretical density (g cm⁻³): 3.387

=====

Entry Q
Compound: NiPCl2F
Source: Alexandria
Functional: GGA+U
Structure: optimized geometry

Geometry as POSCAR:
```
NiPCl2F
1.0
5.342 0.000 0.000
0.000 5.342 0.000
0.000 0.000 3.560
Ni F P Cl
1 1 1 2
Direct
0.500 0.500 0.500 Ni
0.000 0.000 0.000 F
0.000 0.000 0.500 P
0.000 0.500 0.000 Cl
0.500 0.000 0.000 Cl
```

Magnetic moment (μB per formula unit): 1.00
Fermi-level density of states (states/eV/f.u.): 1.03
Theoretical density (g cm⁻³): 2.936

=====

Which of them is most stable? Easy: entry Q.